{"formula": "CeDyRh", "functional": "PBE-GGA", "state": "relaxed", "lattice_angstrom": [[3.5012, 0.0000, 0.0000], [0.0000, 3.5012, 0.0000], [-1.7506, -1.7506, 6.0549]], "species": ["Rh", "Ce", "Dy"], "frac_coords": [[0.6654, 0.6654, 0.3308], [0.0307, 0.0307, 0.0614], [0.3039, 0.3039, 0.6079]], "m_tot_mub_per_cell": 1.5, "formation_energy_ev_per_atom": -0.47, "vol_a3_per_cell": 74, "spacegroup": "I4mm", "de_polymorph_mev_per_atom": 12}